#P
This record from the Alexandria database describes crystalline SrIn3Sn3 at its relaxed geometry. The functional is GGA-PBE.

a b c (Å): 8.071 8.071 8.071
angles (deg): 90.00 90.00 90.00
Atoms (fractional coordinates):
Sr 0.000 0.000 0.000
Sr 0.500 0.500 0.500
In 0.000 0.250 0.500
In 0.000 0.750 0.500
In 0.250 0.500 0.000
In 0.500 0.000 0.250
In 0.500 0.000 0.750
In 0.750 0.500 0.000
Sn 0.000 0.500 0.250
Sn 0.000 0.500 0.750
Sn 0.250 0.000 0.500
Sn 0.500 0.250 0.000
Sn 0.500 0.750 0.000
Sn 0.750 0.000 0.500

#Q
This record from the Alexandria database describes crystalline SrIn3Sn3 at its relaxed geometry. The functional is GGA-PBE.

a b c (Å): 8.946 8.946 8.946
angles (deg): 53.16 53.16 53.16
Atoms (fractional coordinates):
Sr 0.167 0.167 0.167
Sr 0.833 0.833 0.833
In 0.069 0.569 0.249
In 0.249 0.069 0.569
In 0.431 0.751 0.931
In 0.569 0.249 0.069
In 0.751 0.931 0.431
In 0.931 0.431 0.751
Sn 0.217 0.677 0.396
Sn 0.323 0.604 0.783
Sn 0.396 0.217 0.677
Sn 0.604 0.783 0.323
Sn 0.677 0.396 0.217
Sn 0.783 0.323 0.604

Least stable: #P

#P
This record from the Alexandria database describes crystalline Sr2InSn4 at its relaxed geometry. The functional is GGA-PBE.

a b c (Å): 9.189 9.189 9.189
angles (deg): 144.20 144.20 51.52
Atoms (fractional coordinates):
Sr 0.132 0.132 0.000
Sr 0.868 0.868 0.000
In 0.500 0.500 0.000
Sn 0.000 0.500 0.500
Sn 0.332 0.332 0.000
Sn 0.500 0.000 0.500
Sn 0.668 0.668 0.000

#Q
This record from the Alexandria database describes crystalline Sr2InSn4 at its relaxed geometry. The functional is GGA-PBE.

a b c (Å): 6.354 6.666 10.591
angles (deg): 90.00 103.13 90.00
Atoms (fractional coordinates):
Sr 0.112 0.250 0.405
Sr 0.297 0.750 0.002
Sr 0.703 0.250 0.998
Sr 0.888 0.750 0.595
In 0.103 0.250 0.816
In 0.897 0.750 0.184
Sn 0.240 0.250 0.113
Sn 0.291 0.750 0.413
Sn 0.410 0.513 0.701
Sn 0.410 0.987 0.701
Sn 0.590 0.013 0.299
Sn 0.590 0.487 0.299
Sn 0.709 0.250 0.587
Sn 0.760 0.750 0.887

Least stable: #P

#P
This record from the Alexandria database describes crystalline Sr4In2Sn at its relaxed geometry. The functional is GGA-PBE.

a b c (Å): 9.248 9.248 9.248
angles (deg): 139.65 139.65 58.38
Atoms (fractional coordinates):
Sr 0.000 0.500 0.500
Sr 0.198 0.198 0.000
Sr 0.500 0.000 0.500
Sr 0.802 0.802 0.000
In 0.405 0.405 0.000
In 0.595 0.595 0.000
Sn 0.000 0.000 0.000

#Q
This record from the Alexandria database describes crystalline Sr4In2Sn at its relaxed geometry. The functional is GGA-PBE.

a b c (Å): 9.934 9.934 9.934
angles (deg): 33.58 33.58 33.58
Atoms (fractional coordinates):
Sr 0.124 0.124 0.124
Sr 0.375 0.375 0.375
Sr 0.625 0.625 0.625
Sr 0.876 0.876 0.876
In 0.251 0.251 0.251
In 0.749 0.749 0.749
Sn 0.000 0.000 0.000

Least stable: #P

#P
This record from the Alexandria database describes crystalline Sr4InSn at its relaxed geometry. The functional is GGA-PBE.

a b c (Å): 5.635 5.635 9.812
angles (deg): 106.76 106.76 59.92
Atoms (fractional coordinates):
Sr 0.123 0.123 0.370
Sr 0.291 0.291 0.875
Sr 0.709 0.709 0.125
Sr 0.877 0.877 0.630
In 0.500 0.500 0.500
Sn 0.000 0.000 0.000

#Q
This record from the Alexandria database describes crystalline Sr4InSn at its relaxed geometry. The functional is GGA-PBE.

a b c (Å): 11.126 11.126 11.126
angles (deg): 60.00 60.00 60.00
Atoms (fractional coordinates):
Sr 0.194 0.194 0.806
Sr 0.194 0.806 0.194
Sr 0.194 0.806 0.806
Sr 0.396 0.396 0.396
Sr 0.396 0.396 0.813
Sr 0.396 0.813 0.396
Sr 0.546 0.546 0.954
Sr 0.546 0.954 0.546
Sr 0.546 0.954 0.954
Sr 0.806 0.194 0.194
Sr 0.806 0.194 0.806
Sr 0.806 0.806 0.194
Sr 0.813 0.396 0.396
Sr 0.954 0.546 0.546
Sr 0.954 0.546 0.954
Sr 0.954 0.954 0.546
In 0.174 0.174 0.174
In 0.174 0.174 0.479
In 0.174 0.479 0.174
In 0.479 0.174 0.174
Sn 0.168 0.611 0.611
Sn 0.611 0.168 0.611
Sn 0.611 0.611 0.168
Sn 0.611 0.611 0.611

Least stable: #P